Compound: AuCl2F
Source: Alexandria via LeMat-Bulk
Functional: PBEsol
Structure: optimized geometry

Properties
**Total DFT energy (no corrections)**: -2.345 eV per atom
**Raw formation energy**: 0.122 eV/atom
**Crystal system**: trigonal
**Total magnetic moment**: 1.65 μB/f.u.

The structure in CIF format:
```
data_AuCl2F
_chemical_formula_sum 'Au1 Cl2 F1'
_symmetry_space_group_name_H-M 'P 1'
_symmetry_Int_Tables_number 1
_symmetry_space_group_name_Hall 'P 1'
_cell_length_a 8.0980
_cell_length_b 8.0980
_cell_length_c 8.0980
_cell_angle_alpha 24.45
_cell_angle_beta 24.45
_cell_angle_gamma 24.45
loop_
_atom_site_label
_atom_site_type_symbol
_atom_site_fract_x
_atom_site_fract_y
_atom_site_fract_z
Au1 Au 0.0000 0.0000 0.0000
Cl1 Cl 0.0933 0.0933 0.0933
Cl2 Cl 0.9067 0.9067 0.9067
F1 F 0.5000 0.5000 0.5000
```

=====

Compound: CdIn2Cu
Source: Alexandria via LeMat-Bulk
Functional: PBEsol
Structure: optimized geometry

Properties
**Total DFT energy (no corrections)**: -2.792 eV per atom
**Formation energy**: 0.0818 eV per atom
**Crystal system**: tetragonal
**Total magnetic moment**: 0.00 μB/f.u.

The structure in CIF format:
```
data_CdIn2Cu
_chemical_formula_sum 'Cd1 In2 Cu1'
_symmetry_space_group_name_H-M 'P 1'
_symmetry_Int_Tables_number 1
_symmetry_space_group_name_Hall 'P 1'
_cell_length_a 3.0597
_cell_length_b 3.0597
_cell_length_c 8.5146
_cell_angle_alpha 90.00
_cell_angle_beta 90.00
_cell_angle_gamma 90.00
loop_
_atom_site_label
_atom_site_type_symbol
_atom_site_fract_x
_atom_site_fract_y
_atom_site_fract_z
Cd1 Cd 0.0000 0.0000 0.0000
In1 In 0.5000 0.5000 0.2886
In2 In 0.5000 0.5000 0.7114
Cu1 Cu 0.0000 0.0000 0.5000
```

=====

Compound: SrZnSn
Source: Alexandria via LeMat-Bulk
Functional: PBEsol
Structure: optimized geometry

Properties
**Total DFT energy (no corrections)**: -3.097 eV per atom
**Formation energy**: -0.5365 eV per atom
**Crystal system**: hexagonal
**Total magnetic moment**: 0.00 μB/f.u.

The structure in CIF format:
```
data_SrZnSn
_chemical_formula_sum 'Sr2 Zn2 Sn2'
_symmetry_space_group_name_H-M 'P 1'
_symmetry_Int_Tables_number 1
_symmetry_space_group_name_Hall 'P 1'
_cell_length_a 4.5870
_cell_length_b 4.5870
_cell_length_c 8.8989
_cell_angle_alpha 90.00
_cell_angle_beta 90.00
_cell_angle_gamma 120.00
loop_
_atom_site_label
_atom_site_type_symbol
_atom_site_fract_x
_atom_site_fract_y
_atom_site_fract_z
Sr1 Sr 0.0000 0.0000 0.0000
Sr2 Sr 0.0000 0.0000 0.5000
Zn1 Zn 0.3333 0.6667 0.2500
Zn2 Zn 0.6667 0.3333 0.7500
Sn1 Sn 0.3333 0.6667 0.7500
Sn2 Sn 0.6667 0.3333 0.2500
```

=====

Compound: InAsPt
Source: Alexandria via LeMat-Bulk
Functional: PBEsol
Structure: optimized geometry

Properties
**Total DFT energy (no corrections)**: -5.122 eV per atom
**Formation energy**: -0.1045 eV per atom
**Crystal system**: tetragonal
**Total magnetic moment**: 0.00 μB/f.u.

The structure in CIF format:
```
data_InAsPt
_chemical_formula_sum 'In1 As1 Pt1'
_symmetry_space_group_name_H-M 'P 1'
_symmetry_Int_Tables_number 1
_symmetry_space_group_name_Hall 'P 1'
_cell_length_a 6.1636
_cell_length_b 6.1636
_cell_length_c 6.1636
_cell_angle_alpha 150.25
_cell_angle_beta 150.25
_cell_angle_gamma 42.57
loop_
_atom_site_label
_atom_site_type_symbol
_atom_site_fract_x
_atom_site_fract_y
_atom_site_fract_z
In1 In 0.0000 0.0000 0.0000
As1 As 0.7149 0.7149 0.0000
Pt1 Pt 0.3307 0.3307 0.0000
```